# 1
# Tm5Sc4In

Tm5Sc4In after structural relaxation (PBE-GGA, the Alexandria database).

Volume in Å³/atom: 28.74
ΔE_f in eV/atom: 0.25
Spin magnetization in μB per formula unit: 0.00

Cell and atoms, written as CIF:
```
data_Tm5Sc4In
_cell_length_a 9.8119
_cell_length_b 9.8119
_cell_length_c 5.9699
_cell_angle_alpha 90.00
_cell_angle_beta 90.00
_cell_angle_gamma 90.00
_symmetry_space_group_name_H-M 'I 4'
_symmetry_Int_Tables_number 79
loop_
_symmetry_equiv_pos_as_xyz
'x,y,z'
'-y,x,z'
'-x,-y,z'
'y,-x,z'
'x+1/2,y+1/2,z+1/2'
'-y+1/2,x+1/2,z+1/2'
'-x+1/2,-y+1/2,z+1/2'
'y+1/2,-x+1/2,z+1/2'
loop_
_atom_site_label
_atom_site_fract_x
_atom_site_fract_y
_atom_site_fract_z
Tm1 0.0000 0.0000 0.0000
Tm2 0.1462 0.7599 0.3174
Sc1 0.0522 0.6409 0.8129
In1 0.0000 0.0000 0.5295
```

***

# 2
# Tm8Sc6In

Tm8Sc6In after structural relaxation (PBE-GGA, the Alexandria database).

Volume in Å³/atom: 27.78
ΔE_f in eV/atom: 0.13
Spin magnetization in μB per formula unit: 0.00

Cell and atoms, written as CIF:
```
data_Tm8Sc6In
_cell_length_a 9.2160
_cell_length_b 9.2160
_cell_length_c 16.9935
_cell_angle_alpha 90.00
_cell_angle_beta 90.00
_cell_angle_gamma 120.00
_symmetry_space_group_name_H-M 'R -3'
_symmetry_Int_Tables_number 148
_symmetry_space_group_name_Hall '-R 3'
loop_
_atom_site_label
_atom_site_fract_x
_atom_site_fract_y
_atom_site_fract_z
Tm1 0.0000 0.0000 0.0930
Tm2 0.0569 0.8138 0.6764
Sc1 0.0324 0.6351 0.8481
In1 0.0000 0.0000 0.5000
```

***

# 3
# Tm12Sc5In2

Tm12Sc5In2 after structural relaxation (PBE-GGA, the Alexandria database).

Volume in Å³/atom: 28.30
ΔE_f in eV/atom: 0.02
Spin magnetization in μB per formula unit: 0.00

Cell and atoms, written as CIF:
```
data_Tm12Sc5In2
_cell_length_a 14.7923
_cell_length_b 8.9841
_cell_length_c 8.0914
_cell_angle_alpha 90.00
_cell_angle_beta 90.62
_cell_angle_gamma 90.00
_symmetry_space_group_name_H-M 'C 1 2/m 1'
_symmetry_Int_Tables_number 12
loop_
_symmetry_equiv_pos_as_xyz
'x,y,z'
'-x,-y,-z'
'-x,y,-z'
'x,-y,z'
'x+1/2,y+1/2,z'
'-x+1/2,-y+1/2,-z'
'-x+1/2,y+1/2,-z'
'x+1/2,-y+1/2,z'
loop_
_atom_site_label
_atom_site_fract_x
_atom_site_fract_y
_atom_site_fract_z
Tm1 0.0551 0.0000 0.3260
Tm2 0.0908 0.5000 0.8854
Tm3 0.1247 0.2001 0.6547
Tm4 0.1531 0.3141 0.2391
Sc1 0.0000 0.5000 0.5000
Sc2 0.1885 0.0000 0.0059
Sc3 0.2361 0.5000 0.5804
In1 0.0000 0.1790 0.0000
```